Record 1
# NpZnFeCo

Crystalline NpZnFeCo at its relaxed geometry (PBE-GGA, the Alexandria database).

Cell lengths 4.3636, 4.3636, 4.3636 Å; angles 60.00, 60.00, 60.00 degrees
Closest atoms and distances in Å follow each position.
Fractional coordinates of all 4 atoms:
Co1 0.5000 0.5000 0.5000  4 Zn 2.67, 4 Np 2.67
Fe1 0.0000 0.0000 0.0000  4 Np 2.67, 4 Zn 2.67
Zn1 0.7500 0.7500 0.7500  4 Fe 2.67, 4 Co 2.67
Np1 0.2500 0.2500 0.2500  4 Fe 2.67, 4 Co 2.67

Calculated values
Uncorrected energy in eV/atom: -7.3685
Energy of formation from the pure elements in eV per atom: 0.08

=====

Record 2
# Pm3CuHg2

Crystalline Pm3CuHg2 at its relaxed geometry (PBE-GGA, the Alexandria database).

Cell lengths 5.2921, 5.2921, 12.9741 Å; angles 90.00, 90.00, 120.00 degrees
Closest atoms and distances in Å follow each position.
Fractional coordinates of all 12 atoms:
Hg1 0.6667 0.3333 0.8341  8 Pm 3.20-3.34
Pm1 0.6667 0.3333 0.0918  1 Cu 3.19, 7 Hg 3.20-3.34
Hg2 0.3333 0.6667 0.1659  8 Pm 3.20-3.34
Pm2 0.0000 0.0000 0.7429  5 Hg 3.15-3.34, 3 Cu 3.23
Pm3 0.0000 0.0000 0.2571  5 Hg 3.15-3.34, 3 Cu 3.23
Pm4 0.3333 0.6667 0.9082  1 Cu 3.19, 7 Hg 3.20-3.34
Pm5 0.3333 0.6667 0.4168  4 Cu 3.18-3.22, 4 Hg 3.24-3.26
Pm6 0.6667 0.3333 0.5832  4 Cu 3.18-3.22, 4 Hg 3.24-3.26
Hg3 0.0000 0.0000 0.5000  8 Pm 3.15-3.24
Cu1 0.3333 0.6667 0.6620  8 Pm 3.18-3.23
Cu2 0.6667 0.3333 0.3380  8 Pm 3.18-3.23
Hg4 0.0000 0.0000 0.0000  8 Pm 3.28-3.34

Calculated values
Uncorrected energy in eV/atom: -3.5062
Energy relative to the lowest polymorph listed for this composition in meV/atom: 14
Energy of formation from the pure elements in eV per atom: -0.35

=====

Record 3
# Nd2Si3Ir5

Crystalline Nd2Si3Ir5 at its relaxed geometry (PBE-GGA, the Alexandria database).

Cell lengths 4.1581, 6.7542, 12.3210 Å; angles 90.00, 99.71, 90.00 degrees
Closest atoms and distances in Å follow each position.
Fractional coordinates of all 20 atoms:
Ir1 0.6005 0.9115 0.2010  3 Si 2.42-2.55
Ir2 0.8666 0.6998 0.7333  2 Si 2.39-2.60
Ir3 0.2892 0.5256 0.5784  3 Si 2.46-2.53, 1 Ir 2.71
Si1 0.3890 0.0358 0.7780  4 Ir 2.40-2.55
Ir4 0.1334 0.1998 0.2667  2 Si 2.39-2.60
Ir5 0.9410 0.0919 0.8820  3 Si 2.45-2.46
Ir6 0.7108 0.0256 0.4216  3 Si 2.46-2.53, 1 Ir 2.71
Nd1 0.5225 0.2557 0.0449  5 Si 2.86-3.05, 6 Ir 3.00-3.20
Si2 0.0509 0.9535 0.1019  4 Ir 2.42-2.60
Nd2 0.4775 0.7557 0.9551  5 Si 2.86-3.05, 6 Ir 3.00-3.20
Ir7 0.2950 0.9265 0.5901  4 Si 2.40-2.57
Si3 0.9491 0.4535 0.8981  4 Ir 2.42-2.60
Si4 0.7683 0.7258 0.5366  7 Ir 2.39-2.57
Si5 0.6110 0.5358 0.2220  4 Ir 2.40-2.55
Ir8 0.3995 0.4115 0.7990  3 Si 2.42-2.55
Ir9 0.0590 0.5919 0.1180  3 Si 2.45-2.46
Nd3 0.8233 0.2388 0.6466  4 Si 2.96-3.05, 10 Ir 2.96-3.29
Si6 0.2317 0.2258 0.4634  7 Ir 2.39-2.57
Ir10 0.7050 0.4265 0.4099  4 Si 2.40-2.57
Nd4 0.1767 0.7388 0.3534  4 Si 2.96-3.05, 10 Ir 2.96-3.29

Calculated values
Uncorrected energy in eV/atom: -7.7147

=====

Record 4
# Sm2Al4NiIr3

Crystalline Sm2Al4NiIr3 at its relaxed geometry (PBE-GGA, the Alexandria database).

Cell lengths 4.1777, 4.1777, 10.4105 Å; angles 90.00, 90.00, 90.00 degrees
Closest atoms and distances in Å follow each position.
Fractional coordinates of all 10 atoms:
Sm1 0.0000 0.5000 0.7428  6 Ir 3.20-3.28, 8 Al 3.22-3.40, 2 Ni 3.28
Al1 0.0000 0.0000 0.0000  4 Ir 2.54
Al2 0.5000 0.5000 0.0000  4 Ir 2.54
Ir1 0.0000 0.5000 0.1382  5 Al 2.51-2.54
Sm2 0.5000 0.0000 0.2572  6 Ir 3.20-3.28, 8 Al 3.22-3.40, 2 Ni 3.28
Ir2 0.0000 0.0000 0.5000  4 Al 2.44
Ir3 0.5000 0.0000 0.8618  5 Al 2.51-2.54
Al3 0.5000 0.0000 0.6206  2 Ni 2.44, 3 Ir 2.44-2.51
Al4 0.0000 0.5000 0.3794  2 Ni 2.44, 3 Ir 2.44-2.51
Ni1 0.5000 0.5000 0.5000  4 Al 2.44

Calculated values
Uncorrected energy in eV/atom: -6.4879
Energy of formation from the pure elements in eV per atom: -0.81